VASP calculation (PBE) on crystalline SiSbAu2 at its relaxed geometry. Values from VASP.

Summary:
total magnetization: 0.000 μB/atom
energy: -3.942 eV per atom
energy relative to the elements, uncorrected: 83 meV per atom

Geometry as Quantum ESPRESSO input:
```
&SYSTEM
  ibrav = 0, nat = 4, ntyp = 3
/
ATOMIC_SPECIES
Si 28.09 Si.upf
Sb 121.76 Sb.upf
Au 196.97 Au.upf
ATOMIC_POSITIONS angstrom
Si 0.000 0.000 0.000
Sb 4.571 0.000 1.842
Au 0.132 0.000 5.308
Au 2.346 0.000 3.561
CELL_PARAMETERS angstrom
3.389 -1.889 0.000
3.389 1.889 0.000
-2.094 0.000 6.514
```